[1]
VASP calculation (meta-GGA SCAN) on a crystal of NbSiBr2 relaxed with PBEsol.

Calculated values
Space group: R-3m (166)
Fermi-level density of states, states/eV/f.u.: 2.4
Magnetic moment, μB/f.u.: 0.000
Raw formation energy, meV per atom: 139
Total DFT energy (no corrections), eV per atom: -20.38

Cell: 10.430 10.430 10.430 Å, 17.62 17.62 17.62°
Element x y z (fractional)
Nb1 0.000 0.000 0.000
Si1 0.500 0.500 0.500
Br1 0.395 0.395 0.395
Br2 0.605 0.605 0.605

=====

[2]
VASP calculation (meta-GGA SCAN) on a crystal of NbTeBr3 relaxed with PBEsol.

Calculated values
Space group: P2/c (13)
Magnetic moment, μB/f.u.: 0.000
Raw formation energy, meV per atom: -839
Total DFT energy (no corrections), eV per atom: -26.59

Cell: 6.624 7.141 12.561 Å, 90.00 98.34 90.00°
Element x y z (fractional)
Nb1 0.070 0.145 0.148
Nb2 0.070 0.855 0.648
Nb3 0.930 0.145 0.352
Nb4 0.930 0.855 0.852
Te1 0.191 0.428 0.306
Te2 0.191 0.572 0.806
Te3 0.809 0.428 0.194
Te4 0.809 0.572 0.694
Br1 0.151 0.179 0.545
Br2 0.151 0.821 0.045
Br3 0.252 0.052 0.805
Br4 0.252 0.948 0.305
Br5 0.365 0.282 0.064
Br6 0.365 0.718 0.564
Br7 0.635 0.282 0.436
Br8 0.635 0.718 0.936
Br9 0.748 0.052 0.695
Br10 0.748 0.948 0.195
Br11 0.849 0.179 0.955
Br12 0.849 0.821 0.455

=====

[3]
VASP calculation (meta-GGA SCAN) on a crystal of Nb2TeBr relaxed with PBEsol.

Calculated values
Space group: Fm-3m (225)
Fermi-level density of states, states/eV/f.u.: 2.4
Magnetic moment, μB/f.u.: 2.186
Raw formation energy, meV per atom: 193
Total DFT energy (no corrections), eV per atom: -30.55

Cell: 4.717 4.717 4.717 Å, 60.00 60.00 60.00°
Element x y z (fractional)
Nb1 0.250 0.250 0.250
Nb2 0.750 0.750 0.750
Te1 0.000 0.000 0.000
Br1 0.500 0.500 0.500

=====

[4]
VASP calculation (meta-GGA SCAN) on a crystal of TiNbTeBr2 relaxed with PBEsol.

Calculated values
Space group: P4/mmm (123)
Fermi-level density of states, states/eV/f.u.: 3.6
Magnetic moment, μB/f.u.: 4.972
Raw formation energy, meV per atom: 86
Total DFT energy (no corrections), eV per atom: -24.98

Cell: 4.965 4.965 5.643 Å, 90.00 90.00 90.00°
Element x y z (fractional)
Ti1 0.000 0.000 0.000
Nb1 0.500 0.500 0.500
Te1 0.500 0.500 0.000
Br1 0.000 0.500 0.500
Br2 0.500 0.000 0.500

=====

[5]
VASP calculation (meta-GGA SCAN) on a crystal of TiNbBr2 relaxed with PBEsol.

Calculated values
Space group: I-42d (122)
Fermi-level density of states, states/eV/f.u.: 4.8
Magnetic moment, μB/f.u.: 0.992
Raw formation energy, meV per atom: 392
Total DFT energy (no corrections), eV per atom: -21.63

Cell: 5.896 5.896 5.896 Å, 106.49 106.49 115.61°
Element x y z (fractional)
Ti1 0.000 0.000 0.000
Ti2 0.750 0.250 0.500
Nb1 0.250 0.750 0.500
Nb2 0.500 0.500 0.000
Br1 0.117 0.125 0.492
Br2 0.375 0.883 0.008
Br3 0.633 0.625 0.508
Br4 0.875 0.367 0.992

=====

[6]
VASP calculation (meta-GGA SCAN) on a crystal of NbWBr2 relaxed with PBEsol.

Calculated values
Space group: Fm-3m (225)
Fermi-level density of states, states/eV/f.u.: 3.0
Magnetic moment, μB/f.u.: 0.000
Raw formation energy, meV per atom: 1300
Total DFT energy (no corrections), eV per atom: -34.13

Cell: 4.533 4.533 4.533 Å, 60.00 60.00 60.00°
Element x y z (fractional)
Nb1 0.000 0.000 0.000
W1 0.500 0.500 0.500
Br1 0.250 0.250 0.250
Br2 0.750 0.750 0.750

=====

[7]
VASP calculation (meta-GGA SCAN) on a crystal of NbWBr3 relaxed with PBEsol.

Calculated values
Space group: Pm-3m (221)
Fermi-level density of states, states/eV/f.u.: 5.1
Magnetic moment, μB/f.u.: 8.006
Distance to the lowest polymorph of the same formula, eV per atom: 0.000
Raw formation energy, meV per atom: 1012
Total DFT energy (no corrections), eV per atom: -31.23

Cell: 5.107 5.107 5.107 Å, 90.00 90.00 90.00°
Element x y z (fractional)
Nb1 0.000 0.000 0.000
W1 0.500 0.500 0.500
Br1 0.000 0.000 0.500
Br2 0.000 0.500 0.000
Br3 0.500 0.000 0.000

=====

[8]
VASP calculation (meta-GGA SCAN) on a crystal of NbZn3Br relaxed with PBEsol.

Calculated values
Space group: Pm-3m (221)
Fermi-level density of states, states/eV/f.u.: 3.3
Magnetic moment, μB/f.u.: 3.978
Raw formation energy, meV per atom: 905
Total DFT energy (no corrections), eV per atom: -17.72

Cell: 5.134 5.134 5.134 Å, 90.00 90.00 90.00°
Element x y z (fractional)
Nb1 0.000 0.000 0.000
Zn1 0.000 0.000 0.500
Zn2 0.000 0.500 0.000
Zn3 0.500 0.000 0.000
Br1 0.500 0.500 0.500